{"formula": "RbNbO3", "functional": "PBE", "state": "relaxed", "lattice": [[-0.9103, -4.7186, -4.4141], [-2.0426, -4.6119, 4.1396], [-7.9992, 1.8290, -1.0817]], "species": ["O", "Nb", "O", "O", "Rb", "Rb", "Rb", "Rb", "Nb", "O", "O", "Nb", "O", "O", "O", "O", "O", "O", "O", "Nb"], "fractional_positions": [[0.5482, 0.2273, 0.8956], [0.8107, 0.1893, 0.0000], [0.7118, 0.0472, 0.2133], [0.6704, 0.6704, 0.4127], [0.7644, 0.2356, 0.5000], [0.3372, 0.3372, 0.2314], [0.6628, 0.6628, 0.7686], [0.2356, 0.7644, 0.5000], [0.2589, 0.2589, 0.7995], [0.2273, 0.5482, 0.8956], [0.9528, 0.2882, 0.7867], [0.7411, 0.7411, 0.2005], [0.1219, 0.1219, 0.0524], [0.7727, 0.4518, 0.1044], [0.0472, 0.7118, 0.2133], [0.8781, 0.8781, 0.9476], [0.4518, 0.7727, 0.1044], [0.2882, 0.9528, 0.7867], [0.3296, 0.3296, 0.5873], [0.1893, 0.8107, 0.0000]], "raw_formation_energy_ev_per_atom": -2.405, "crystal_system": "monoclinic", "m_tot_mub_per_cell": 0.00, "energy_ev_per_atom": -7.59}

{"formula": "RbNbO", "functional": "PBE", "state": "relaxed", "lattice": [[-0.8816, -1.5028, 2.6193], [0.0360, -1.5144, -2.7459], [13.3099, -3.8258, 2.2846]], "species": ["Rb", "Nb", "Nb", "Rb", "O", "O"], "fractional_positions": [[0.1788, 0.3576, 0.8694], [0.7100, 0.4201, 0.6026], [0.7100, 0.4201, 0.3974], [0.1788, 0.3576, 0.1306], [0.3739, 0.7478, 0.5000], [0.5150, 0.0300, 0.0000]], "raw_formation_energy_ev_per_atom": -0.202, "crystal_system": "orthorhombic", "m_tot_mub_per_cell": 0.56, "energy_ev_per_atom": -5.53}